No. 1
A plane-wave DFT calculation with PBE was carried out for a relaxed structure of Te2AuCl.

Computed properties:
For the density, the calculation gives 7.31 g/cm³.

Cell: 4.1339 3.2872 8.7009 Å, 110.54 90.00 90.00°
Element x y z (fractional)
Te (0.0000, 0.4577, 0.4662)
Te (0.0000, 0.0423, 0.0338)
Au (0.5000, 0.2500, 0.2500)
Cl (0.5000, 0.7500, 0.7500)

No. 2
A plane-wave DFT calculation with PBE was carried out for a relaxed structure of CoSN.

Computed properties:
For the density, the calculation gives 3.81 g/cm³. The calculation puts the polymorph energy (0 for the lowest one) at 1.74 eV/f.u.

Cell: 2.8157 2.8133 6.3654 Å, 97.32 97.03 111.31°
Element x y z (fractional)
N (0.0513, 0.1792, 0.6973)
Co (0.4471, 0.8547, 0.7774)
S (0.6006, 0.0110, 0.1263)

No. 3
A plane-wave DFT calculation with PBE was carried out for a relaxed structure of Cs5Y2O5.

Computed properties:
For the density, the calculation gives 3.81 g/cm³.

Cell: 4.0427 8.7781 14.2223 Å, 55.03 81.83 76.69°
Element x y z (fractional)
Y (0.9483, 0.9308, 0.1725)
Y (0.0517, 0.0692, 0.8275)
O (0.1726, 0.7968, 0.8581)
O (0.4652, 0.8198, 0.2499)
O (0.0000, 0.0000, 0.0000)
O (0.5348, 0.1802, 0.7501)
O (0.8274, 0.2032, 0.1419)
Cs (0.2762, 0.1486, 0.2990)
Cs (0.5000, 0.5000, 0.5000)
Cs (0.3555, 0.3401, 0.9490)
Cs (0.7238, 0.8514, 0.7010)
Cs (0.6445, 0.6599, 0.0510)

One value per record, in order, for ΔE_f (raw): -0.1538; 0.4179; -1.9494 eV/atom.